[1]
Compound: LaSb2P3
Source: Alexandria
Functional: PBE
Structure: relaxed

The value obtained for the total magnetization is 0.00 Bohr magnetons per cell. Its electronic total energy is -63.28 eV/cell. The uncorrected formation energy is -0.37 eV/atom.

The structure belongs to space group C2 (No. 5); the cell edges are 13.328, 4.319 and 5.998 Å and the angles 90.00°, 114.21° and 90.00°. The distinct sites, in fractional coordinates, are La at (0.000, 0.000, 0.000), Sb at (0.164, 0.372, 0.635), P at (0.000, 0.965, 0.500) and P at (0.168, 0.479, 0.210).

[2]
Compound: InTe2PdN
Source: Alexandria
Functional: PBE
Structure: relaxed

As for the energy above the most stable polymorph in this dataset: 0 meV/atom. The value obtained for the total magnetization is 0.00 Bohr magnetons per cell. Its electronic total energy is -20.14 eV/cell. The uncorrected formation energy is 0.48 eV/atom.

The structure belongs to space group P4/mmm (No. 123); the cell edges are 5.711, 5.711 and 3.718 Å and the angles 90.00°, 90.00° and 90.00°. The distinct sites, in fractional coordinates, are In at (0.000, 0.000, 0.000), Te at (0.000, 0.500, 0.500), Pd at (0.500, 0.500, 0.500) and N at (0.500, 0.500, 0.000).